Entry from the Alexandria database: an optimized crystal structure of AcPaTiO6 (PBE-GGA).

Cell lengths 5.1271, 5.1271, 10.3968 Å; angles 90.00, 90.00, 90.00 degrees
Closest atoms and distances in Å follow each position.
Fractional coordinates of all 18 atoms:
Ac1 0.0000 0.0000 0.0000  6 O 2.41-2.60
Ac2 0.5000 0.5000 0.5000  6 O 2.41-2.60
Pa1 0.0000 0.0000 0.6642  6 O 2.13-2.27
Pa2 0.5000 0.5000 0.1642  6 O 2.13-2.27
Ti1 0.0000 0.0000 0.3360  6 O 1.94-2.16
Ti2 0.5000 0.5000 0.8360  6 O 1.94-2.16
O1 0.1682 0.1682 0.4807  1 Ti 1.94
O2 0.2075 0.2075 0.1866  1 Pa 2.13, 1 Ti 2.16
O3 0.2285 0.2285 0.8068  1 Ti 1.99, 1 Pa 2.22
O4 0.2715 0.7285 0.3068  1 Ti 1.99, 1 Pa 2.22
O5 0.2925 0.7075 0.6866  1 Pa 2.13, 1 Ti 2.16
O6 0.3318 0.6682 0.9807  1 Ti 1.94
O7 0.6682 0.3318 0.9807  1 Ti 1.94
O8 0.7075 0.2925 0.6866  1 Pa 2.13, 1 Ti 2.16
O9 0.7285 0.2715 0.3068  1 Ti 1.99, 1 Pa 2.22
O10 0.7715 0.7715 0.8068  1 Ti 1.99, 1 Pa 2.22
O11 0.7925 0.7925 0.1866  1 Pa 2.13, 1 Ti 2.16
O12 0.8318 0.8318 0.4807  1 Ti 1.94

- crystal system = tetragonal
- E_form (uncorrected) (eV per atom) = -3.27
- space-group type = P4_2nm (102)